The following is a DFT calculation (PBE) of a geometry-optimized PrLu2Cd structure.

Computed properties:
energy above the lowest structure with this stoichiometry = 0 meV per atom
formation energy = -0.57 eV/f.u.
calculated volume = 28.9 Å³/atom

Lattice parameters (Å, degrees): 3.5818 3.5818 9.0055 90.00 90.00 90.00
Fractional coordinates of all 4 atoms:
1 Pr 0.0000 0.0000 0.0000
2 Lu 0.5000 0.5000 0.2831
3 Lu 0.5000 0.5000 0.7169
4 Cd 0.0000 0.0000 0.5000